## SiTcAg2 (PBE)

Data for a relaxed structure of SiTcAg2.

Geometry as POSCAR:
```
SiTcAg2
1.0
1.557 -2.217 0.000
1.557 2.217 0.000
0.000 0.000 9.482
Si Tc Ag
1 1 2
Cartesian
0.000 0.000 0.000
0.000 0.000 4.741
1.557 0.000 2.340
1.557 0.000 7.141
```

Values from the calculation:
* magnetization: 0.000 μB per cell
* SG: Cmmm
* E_tot: -4.862 eV/atom
* formation energy from raw total energies: 0.51 eV/atom
* density: 8.668 g cm⁻³
* density of states at the Fermi level: 2.5 states/eV/cell